A crystal of Li2SnP4O12 relaxed with PBEsol, computed with SCAN.

Computed properties:
VASP energy   -402.3 eV per cell
Uncorrected formation energy   -2.32 eV/atom
ΔE to the lowest computed polymorph   0.000 eV per atom

Cell: 9.711 9.711 4.627 Å, 90.00 90.00 90.00°
Fractional coordinates of all 38 atoms:
1 Li 0.000 0.000 0.000
2 Li 0.000 0.500 0.000
3 Li 0.500 0.000 0.000
4 Li 0.500 0.500 0.000
5 Sn 0.250 0.250 0.000
6 Sn 0.750 0.750 0.000
7 P 0.039 0.750 0.500
8 P 0.250 0.539 0.500
9 P 0.250 0.961 0.500
10 P 0.461 0.750 0.500
11 P 0.539 0.250 0.500
12 P 0.750 0.039 0.500
13 P 0.750 0.461 0.500
14 P 0.961 0.250 0.500
15 O 0.036 0.175 0.264
16 O 0.036 0.325 0.736
17 O 0.143 0.643 0.659
18 O 0.143 0.857 0.341
19 O 0.175 0.036 0.736
20 O 0.175 0.464 0.264
21 O 0.325 0.036 0.264
22 O 0.325 0.464 0.736
23 O 0.357 0.643 0.341
24 O 0.357 0.857 0.659
25 O 0.464 0.175 0.736
26 O 0.464 0.325 0.264
27 O 0.536 0.675 0.736
28 O 0.536 0.825 0.264
29 O 0.643 0.143 0.341
30 O 0.643 0.357 0.659
31 O 0.675 0.536 0.264
32 O 0.675 0.964 0.736
33 O 0.825 0.536 0.736
34 O 0.825 0.964 0.264
35 O 0.857 0.143 0.659
36 O 0.857 0.357 0.341
37 O 0.964 0.675 0.264
38 O 0.964 0.825 0.736